Entry 1:
ErTmSn2: optimized geometry, PBE.

The density of states at the Fermi level is 4.102 states/eV/cell. The calculated volume is 104 Å³/f.u. The total energy is -4.835 eV per atom. The value obtained for the energy relative to the elements is -575 meV per atom. The mass density comes out at 9.20 Mg/m³.

Lattice parameters (Å, degrees): 4.3312 4.8891 4.8891 90.00 90.00 90.00
Positions (direct):
Sn: 0.0000 0.5000 0.0000
Sn: 0.0000 0.0000 0.5000
Er: 0.5000 0.5000 0.5000
Tm: 0.5000 0.0000 0.0000

Entry 2:
Er2Tm8Sn3: optimized geometry, PBE.

The density of states at the Fermi level is 15.321 states/eV/cell. The calculated volume is 398 Å³/f.u. The total energy is -4.359 eV per atom. The value obtained for the energy relative to the elements is 18 meV per atom. The mass density comes out at 8.52 Mg/m³.

Lattice parameters (Å, degrees): 6.2977 6.2977 12.1487 74.98 74.98 60.00
Each line ends with the local moment (μB).
Positions (direct):
Er: 0.3647 0.3647 0.9059  0.34
Er: 0.6353 0.6353 0.0941  0.34
Tm: 0.7171 0.2213 0.3446  0.11
Tm: 0.2732 0.2732 0.1805  0.32
Tm: 0.7787 0.2829 0.6554  0.11
Tm: 0.2829 0.7787 0.6554  0.11
Tm: 0.2213 0.7171 0.3446  0.11
Tm: 0.7268 0.7268 0.8195  0.32
Tm: 0.7171 0.7171 0.3446  0.11
Tm: 0.2829 0.2829 0.6554  0.11
Sn: 0.0000 0.0000 0.0000  -0.02
Sn: 0.8115 0.8115 0.5654  0.01
Sn: 0.1885 0.1885 0.4346  0.01

Entry 3:
ErTm3Sn2: optimized geometry, PBE.

The density of states at the Fermi level is 12.545 states/eV/cell. The calculated volume is 171 Å³/f.u. The total energy is -4.790 eV per atom. The value obtained for the energy relative to the elements is -460 meV per atom. The mass density comes out at 8.86 Mg/m³.

Lattice parameters (Å, degrees): 4.4763 10.2843 9.4150 125.13 90.00 102.57
Each line ends with the local moment (μB).
Positions (direct):
Sn: 0.2467 0.4934 0.7743  0.00
Sn: 0.4933 0.9866 0.8375  0.01
Sn: 0.5067 0.0134 0.1625  0.01
Sn: 0.7533 0.5066 0.2257  0.00
Tm: 0.6460 0.2920 0.8078  0.11
Tm: 0.3086 0.6171 0.5083  0.07
Tm: 0.9446 0.8892 0.5779  0.19
Tm: 0.3540 0.7080 0.1922  0.11
Tm: 0.6914 0.3829 0.4917  0.07
Tm: 0.0554 0.1108 0.4221  0.19
Er: 0.8865 0.7730 0.8964  0.03
Er: 0.1135 0.2270 0.1036  0.03

Entry 4:
Er8TmSn6: optimized geometry, PBE.

The density of states at the Fermi level is 8.929 states/eV/cell. The calculated volume is 446 Å³/f.u. The total energy is -4.843 eV per atom. The value obtained for the energy relative to the elements is -511 meV per atom. The mass density comes out at 8.26 Mg/m³.

Lattice parameters (Å, degrees): 8.9357 8.9357 8.2614 57.26 57.26 60.00
Positions (direct):
Er: 0.8939 0.5602 0.3187
Er: 0.2272 0.8939 0.3187
Er: 0.4398 0.7728 0.6813
Er: 0.3334 0.3334 0.9999
Er: 0.6666 0.6666 0.0001
Er: 0.1061 0.4398 0.6813
Er: 0.5602 0.2272 0.3187
Er: 0.7728 0.1061 0.6813
Sn: 0.7343 0.4001 0.7984
Sn: 0.0673 0.7343 0.7984
Sn: 0.2657 0.5999 0.2016
Sn: 0.9327 0.2657 0.2016
Sn: 0.4001 0.0673 0.7984
Sn: 0.5999 0.9327 0.2016
Tm: 0.0000 0.0000 0.0000

Entry 5:
Er8Tm2Sn: optimized geometry, PBE.

The density of states at the Fermi level is 15.428 states/eV/cell. The calculated volume is 330 Å³/f.u. The total energy is -4.597 eV per atom. The value obtained for the energy relative to the elements is -102 meV per atom. The mass density comes out at 9.02 Mg/m³.

Lattice parameters (Å, degrees): 5.4682 6.3308 9.9577 85.20 105.94 90.00
Positions (direct):
Tm: 0.2434 0.6638 0.4869
Tm: 0.7566 0.3362 0.5131
Er: 0.1547 0.1979 0.3094
Er: 0.6622 0.8766 0.3243
Er: 0.4211 0.5974 0.8421
Er: 0.3378 0.1234 0.6757
Er: 0.9554 0.2654 0.9109
Er: 0.5789 0.4026 0.1579
Er: 0.0446 0.7346 0.0891
Er: 0.8453 0.8021 0.6906
Sn: 0.5000 0.0000 0.0000

Entry 6:
Er5Tm12Sn2: optimized geometry, PBE.

The density of states at the Fermi level is 23.214 states/eV/cell. The calculated volume is 569 Å³/f.u. The total energy is -4.531 eV per atom. The value obtained for the energy relative to the elements is -85 meV per atom. The mass density comes out at 9.04 Mg/m³.

Lattice parameters (Å, degrees): 9.3663 8.8378 8.1147 91.37 90.00 122.00
Positions (direct):
Er: 0.2367 0.4734 0.5811
Er: 0.7633 0.5266 0.4189
Er: 0.3179 0.6358 0.0011
Er: 0.6821 0.3642 0.9989
Er: 0.0000 0.0000 0.5000
Tm: 0.9163 0.8325 0.1178
Tm: 0.8234 0.2467 0.6509
Tm: 0.6649 0.6983 0.7675
Tm: 0.4233 0.2467 0.6509
Tm: 0.5502 0.1004 0.3150
Tm: 0.4498 0.8996 0.6850
Tm: 0.0837 0.1675 0.8822
Tm: 0.0335 0.6983 0.7675
Tm: 0.5767 0.7533 0.3491
Tm: 0.1766 0.7533 0.3491
Tm: 0.3351 0.3017 0.2325
Tm: 0.9665 0.3017 0.2325
Sn: 0.3034 0.0000 0.0000
Sn: 0.6966 0.0000 0.0000

Entry 7:
Er3Tm2Sn: optimized geometry, PBE.

The density of states at the Fermi level is 14.595 states/eV/cell. The calculated volume is 176 Å³/f.u. The total energy is -4.653 eV per atom. The value obtained for the energy relative to the elements is -214 meV per atom. The mass density comes out at 9.04 Mg/m³.

Lattice parameters (Å, degrees): 3.5182 8.3007 12.0619 90.07 90.00 90.00
Positions (direct):
Er: 0.7500 0.0790 0.6106
Er: 0.2500 0.9210 0.3894
Er: 0.7500 0.6552 0.9422
Er: 0.7500 0.6099 0.2499
Er: 0.2500 0.3448 0.0578
Er: 0.2500 0.3901 0.7501
Tm: 0.2500 0.3459 0.4417
Tm: 0.2500 0.9223 0.1113
Tm: 0.7500 0.6541 0.5583
Tm: 0.7500 0.0777 0.8887
Sn: 0.2500 0.8097 0.7496
Sn: 0.7500 0.1903 0.2504

Entry 8:
Er2TmSn: optimized geometry, PBE.

The density of states at the Fermi level is 3.936 states/eV/cell. The calculated volume is 114 Å³/f.u. The total energy is -4.702 eV per atom. The value obtained for the energy relative to the elements is -302 meV per atom. The value obtained for the energy relative to the lowest polymorph listed for this composition is 0.38 eV per formula unit. The mass density comes out at 9.04 Mg/m³.

Lattice parameters (Å, degrees): 3.5409 3.5409 9.1154 90.00 90.00 90.00
Positions (direct):
Er: 0.0000 0.0000 0.2309
Er: 0.0000 0.0000 0.7691
Sn: 0.5000 0.5000 0.0000
Tm: 0.5000 0.5000 0.5000

Entry 9:
ErTm4Sn2: optimized geometry, PBE.

The density of states at the Fermi level is 12.436 states/eV/cell. The calculated volume is 198 Å³/f.u. The total energy is -4.708 eV per atom. The value obtained for the energy relative to the elements is -358 meV per atom. The mass density comes out at 9.04 Mg/m³.

Lattice parameters (Å, degrees): 7.9526 6.4358 8.9295 90.00 119.70 90.00
Positions (direct):
Sn: 0.1874 0.2500 0.9018
Sn: 0.3249 0.2500 0.3808
Sn: 0.8126 0.7500 0.0982
Sn: 0.6751 0.7500 0.6192
Tm: 0.4501 0.5030 0.7781
Tm: 0.0926 0.7500 0.9264
Tm: 0.0276 0.2500 0.4852
Tm: 0.9724 0.7500 0.5148
Tm: 0.4501 0.9970 0.7781
Tm: 0.5499 0.0030 0.2219
Tm: 0.9074 0.2500 0.0736
Tm: 0.5499 0.4970 0.2219
Er: 0.7441 0.2500 0.6411
Er: 0.2559 0.7500 0.3589

Entry 10:
Er2TmSn: optimized geometry, PBE.

The density of states at the Fermi level is 4.883 states/eV/cell. The calculated volume is 108 Å³/f.u. The total energy is -4.796 eV per atom. The value obtained for the energy relative to the elements is -396 meV per atom. The value obtained for the energy relative to the lowest polymorph listed for this composition is 0.00 eV per formula unit. The mass density comes out at 9.58 Mg/m³.

Lattice parameters (Å, degrees): 4.7608 4.7596 4.7596 90.00 90.00 90.00
Each line ends with the local moment (μB).
Positions (direct):
Er: 0.0000 0.5000 0.0000  0.09
Er: 0.0000 0.0000 0.5000  0.09
Sn: 0.5000 0.0000 0.0000  0.00
Tm: 0.5000 0.5000 0.5000  0.09

Entry 11:
Er12Tm6Sn: optimized geometry, PBE.

The density of states at the Fermi level is 27.214 states/eV/cell. The calculated volume is 580 Å³/f.u. The total energy is -4.462 eV per atom. The value obtained for the energy relative to the elements is 43 meV per atom. The mass density comes out at 8.98 Mg/m³.

Lattice parameters (Å, degrees): 8.3441 8.3441 8.3441 88.55 88.55 88.55
Positions (direct):
Er: 0.7797 0.5409 0.4328
Er: 0.8138 0.6365 0.9895
Er: 0.2203 0.4591 0.5672
Er: 0.6365 0.9895 0.8138
Er: 0.5409 0.4328 0.7797
Er: 0.4328 0.7797 0.5409
Er: 0.4591 0.5672 0.2203
Er: 0.5672 0.2203 0.4591
Er: 0.9895 0.8138 0.6365
Er: 0.0105 0.1862 0.3635
Er: 0.1862 0.3635 0.0105
Er: 0.3635 0.0105 0.1862
Tm: 0.9048 0.2966 0.7429
Tm: 0.7429 0.9048 0.2966
Tm: 0.2571 0.0952 0.7034
Tm: 0.2966 0.7429 0.9048
Tm: 0.0952 0.7034 0.2571
Tm: 0.7034 0.2571 0.0952
Sn: 0.0000 0.0000 0.0000

Entry 12:
ErTmSn2: optimized geometry, PBE.

The density of states at the Fermi level is 2.416 states/eV/cell. The calculated volume is 107 Å³/f.u. The total energy is -4.934 eV per atom. The value obtained for the energy relative to the elements is -674 meV per atom. The mass density comes out at 8.88 Mg/m³.

Lattice parameters (Å, degrees): 4.4332 4.2785 6.0715 90.00 111.40 90.00
Positions (direct):
Er: 0.4500 0.5000 0.4385
Sn: 0.1782 0.5000 0.8956
Sn: 0.9872 0.0000 0.5133
Tm: 0.7156 0.0000 0.9707